[1]
Density functional theory data (PBE) for crystalline DyTmI at its relaxed geometry.

Structure (POSCAR):
```
DyTmI
1.0
-1.832 1.832 6.870
1.832 -1.832 6.870
1.832 1.832 -6.870
Dy Tm I
1 1 1
Cartesian
0.000 0.000 0.000
0.000 0.000 4.589
0.000 0.000 9.176
```

Output
For the uncorrected formation energy, the calculation gives -380 meV/atom. As for the energy above the most stable polymorph in this dataset: 0.34 eV/f.u. The raw total energy comes out at -3.921 eV per atom. As for the space-group type: No. 107.

---

[2]
Density functional theory data (PBE) for crystalline Dy2TmI at its relaxed geometry.

Structure (POSCAR):
```
Dy2TmI
1.0
1.861 1.074 10.415
-1.861 1.074 10.415
0.000 -2.148 10.415
Dy Tm I
2 1 1
Cartesian
0.000 0.000 7.692
0.000 0.000 23.552
0.000 0.000 0.000
0.000 0.000 15.622
```

Output
For the uncorrected formation energy, the calculation gives -332 meV/atom. As for the energy above the most stable polymorph in this dataset: 0.04 eV/f.u. The raw total energy comes out at -4.138 eV per atom. As for the space-group type: No. 166.

---

[3]
Density functional theory data (PBE) for crystalline Dy2TmI at its relaxed geometry.

Structure (POSCAR):
```
Dy2TmI
1.0
1.872 1.081 10.340
-1.872 1.081 10.340
0.000 -2.161 10.340
Dy Tm I
2 1 1
Cartesian
0.000 0.000 0.000
0.000 0.000 5.382
0.000 0.000 13.018
0.000 0.000 18.197
```

Output
For the uncorrected formation energy, the calculation gives -343 meV/atom. As for the energy above the most stable polymorph in this dataset: 0.00 eV/f.u. The raw total energy comes out at -4.149 eV per atom. As for the space-group type: No. 160.

---

[4]
Density functional theory data (PBE) for crystalline Dy3Tm5I12 at its relaxed geometry.

Structure (POSCAR):
```
Dy3Tm5I12
1.0
-9.007 9.007 9.007
9.007 -9.007 9.007
9.007 9.007 -9.007
Dy Tm I
12 20 48
Cartesian
4.503 2.252 0.000
9.007 4.503 -2.252
2.252 0.000 4.503
11.258 0.000 4.503
0.000 4.503 2.252
4.503 -2.252 9.007
4.503 11.258 0.000
9.007 4.503 6.755
-2.252 9.007 4.503
6.755 9.007 4.503
0.000 4.503 11.258
4.503 6.755 9.007
0.000 0.000 0.000
4.503 4.503 -4.503
4.503 -4.503 4.503
9.007 0.000 0.000
13.510 2.252 0.000
9.007 -4.503 6.755
6.755 9.007 -4.503
6.755 0.000 4.503
4.503 6.755 0.000
9.007 4.503 2.252
-4.503 4.503 4.503
0.000 9.007 0.000
0.000 0.000 9.007
4.503 4.503 4.503
0.000 4.503 6.755
4.503 2.252 9.007
2.252 9.007 4.503
2.252 0.000 13.510
0.000 13.510 2.252
-4.503 6.755 9.007
2.713 -0.344 1.293
10.797 5.797 -4.847
8.663 -1.293 2.713
13.854 -1.790 3.210
11.720 0.344 1.293
10.797 -3.210 4.847
1.293 2.713 -0.344
12.217 4.160 -1.790
5.797 4.847 -1.790
7.714 2.713 0.344
-0.344 1.293 2.713
4.847 -1.790 5.797
8.663 7.714 -2.713
4.847 1.790 3.210
7.714 -2.713 8.663
5.797 -4.847 10.797
3.210 4.847 1.790
10.300 6.294 0.344
2.713 8.663 -1.293
10.797 3.210 4.160
4.847 10.797 -3.210
8.663 1.293 6.294
1.790 3.210 4.847
2.713 0.344 7.714
6.294 8.663 1.293
7.216 5.797 4.160
0.344 7.714 2.713
4.160 -1.790 12.217
-1.790 5.797 4.847
6.294 0.344 10.300
-1.293 2.713 8.663
5.797 4.160 7.216
3.210 13.854 -1.790
1.293 11.720 0.344
4.160 7.216 5.797
0.344 1.293 11.720
4.160 10.797 3.210
9.350 7.714 6.294
1.293 6.294 8.663
3.210 4.160 10.797
-3.210 4.847 10.797
7.714 6.294 9.350
-1.790 12.217 4.160
-2.713 8.663 7.714
-4.847 10.797 5.797
0.344 10.300 6.294
-1.790 3.210 13.854
6.294 9.350 7.714
```

Output
For the uncorrected formation energy, the calculation gives -476 meV/atom. The raw total energy comes out at -3.214 eV per atom. As for the space-group type: No. 230.

---

[5]
Density functional theory data (PBE) for crystalline DyYI at its relaxed geometry.

Structure (POSCAR):
```
DyYI
1.0
1.892 1.092 7.688
-1.892 1.092 7.688
0.000 -2.185 7.688
Dy Y I
1 1 1
Cartesian
0.000 0.000 0.000
0.000 0.000 12.693
0.000 0.000 17.888
```

Output
For the uncorrected formation energy, the calculation gives -493 meV/atom. As for the energy above the most stable polymorph in this dataset: 0.09 eV/f.u. The raw total energy comes out at -4.698 eV per atom. As for the space-group type: No. 160.

---

[6]
Density functional theory data (PBE) for crystalline DyYI at its relaxed geometry.

Structure (POSCAR):
```
DyYI
1.0
3.839 0.000 0.000
-1.919 3.324 0.000
0.000 0.000 7.527
Dy Y I
1 1 1
Cartesian
0.000 0.000 0.000
1.919 1.108 2.626
0.000 2.216 5.072
```

Output
For the uncorrected formation energy, the calculation gives -524 meV/atom. As for the energy above the most stable polymorph in this dataset: 0.00 eV/f.u. The raw total energy comes out at -4.730 eV per atom. As for the space-group type: No. 156.

---

[7]
Density functional theory data (PBE) for crystalline DyY2I6 at its relaxed geometry.

Structure (POSCAR):
```
DyY2I6
1.0
8.638 -2.068 0.000
8.638 2.068 0.000
-5.130 0.000 10.235
Dy Y I
1 2 6
Cartesian
0.000 0.000 0.000
2.248 0.000 6.661
9.898 0.000 3.575
-0.984 0.000 2.898
3.522 0.000 3.876
1.296 0.000 9.680
10.850 0.000 0.555
8.624 0.000 6.359
13.130 0.000 7.337
```

Output
For the uncorrected formation energy, the calculation gives -1220 meV/atom. The raw total energy comes out at -4.201 eV per atom. As for the space-group type: No. 12.

---

[8]
Density functional theory data (PBE) for crystalline DyYI5 at its relaxed geometry.

Structure (POSCAR):
```
DyYI5
1.0
9.529 0.000 0.000
0.000 4.110 0.000
-0.054 0.000 15.550
Dy Y I
2 2 10
Cartesian
1.432 1.028 2.814
8.043 3.083 12.737
3.937 3.083 5.569
5.537 1.028 9.981
0.721 1.028 12.192
1.636 1.028 5.939
2.088 3.083 0.651
3.434 3.083 8.847
4.514 1.028 3.265
4.960 3.083 12.286
6.040 1.028 6.703
7.386 1.028 14.899
7.838 3.083 9.611
8.753 3.083 3.358
```

Output
For the uncorrected formation energy, the calculation gives -1310 meV/atom. The raw total energy comes out at -3.998 eV per atom. As for the space-group type: No. 11.

---

[9]
Density functional theory data (PBE) for crystalline DyY2I at its relaxed geometry.

Structure (POSCAR):
```
DyY2I
1.0
1.874 1.082 10.469
-1.874 1.082 10.469
0.000 -2.164 10.469
Dy Y I
1 2 1
Cartesian
0.000 0.000 0.000
0.000 0.000 7.709
0.000 0.000 23.697
0.000 0.000 15.703
```

Output
For the uncorrected formation energy, the calculation gives -350 meV/atom. As for the energy above the most stable polymorph in this dataset: 0.01 eV/f.u. The raw total energy comes out at -5.120 eV per atom. As for the space-group type: No. 166.

---

[10]
Density functional theory data (PBE) for crystalline DyY2I at its relaxed geometry.

Structure (POSCAR):
```
DyY2I
1.0
3.650 0.000 0.000
0.000 3.650 0.000
0.000 0.000 9.500
Dy Y I
1 2 1
Cartesian
0.000 0.000 0.000
1.825 1.825 2.422
1.825 1.825 7.079
0.000 0.000 4.750
```

Output
For the uncorrected formation energy, the calculation gives -281 meV/atom. As for the energy above the most stable polymorph in this dataset: 0.29 eV/f.u. The raw total energy comes out at -5.051 eV per atom. As for the space-group type: No. 123.

---

[11]
Density functional theory data (PBE) for crystalline DyY2I at its relaxed geometry.

Structure (POSCAR):
```
DyY2I
1.0
1.889 1.090 10.390
-1.889 1.090 10.390
0.000 -2.181 10.390
Dy Y I
1 2 1
Cartesian
0.000 0.000 0.000
0.000 0.000 18.066
0.000 0.000 23.522
0.000 0.000 5.204
```

Output
For the uncorrected formation energy, the calculation gives -353 meV/atom. As for the energy above the most stable polymorph in this dataset: 0.00 eV/f.u. The raw total energy comes out at -5.124 eV per atom. As for the space-group type: No. 160.

---

[12]
Density functional theory data (PBE) for crystalline Dy2ZnI at its relaxed geometry.

Structure (POSCAR):
```
Dy2ZnI
1.0
2.040 1.178 7.807
-2.040 1.178 7.807
0.000 -2.356 7.807
Dy Zn I
2 1 1
Cartesian
0.000 0.000 5.546
0.000 0.000 17.876
0.000 0.000 11.711
0.000 0.000 0.000
```

Output
For the uncorrected formation energy, the calculation gives -493 meV/atom. As for the energy above the most stable polymorph in this dataset: 0.01 eV/f.u. The raw total energy comes out at -3.500 eV per atom. As for the space-group type: No. 166.

---

- Which of these has the lowest raw total energy?
  number 11